[1]
The following is a PBE calculation of a relaxed Zn2CuRhS crystal, from Alexandria.

For the formation energy (no corrections), the calculation gives 639.7 meV/atom.

CIF file:
```
data_Zn2CuRhS
_chemical_formula_sum 'Zn2 Cu1 Rh1 S1'
_space_group_name_H-M_alt 'P 4/m m m'
_space_group_IT_number 123
_space_group_name_Hall '-P 4 2'
_cell_length_a 4.5650
_cell_length_b 4.5650
_cell_length_c 4.2449
_cell_angle_alpha 90.00
_cell_angle_beta 90.00
_cell_angle_gamma 90.00
loop_
_atom_site_label
_atom_site_type_symbol
_atom_site_fract_x
_atom_site_fract_y
_atom_site_fract_z
_atom_site_occupancy
Zn1 Zn 0.0000 0.5000 0.0000 1
Cu1 Cu 0.0000 0.0000 0.0000 1
Rh1 Rh 0.5000 0.5000 0.5000 1
S1 S 0.0000 0.0000 0.5000 1
```

=====

[2]
The following is a PBE calculation of a relaxed NiHS2N crystal, from Alexandria.

Its energy above the most stable polymorph in this dataset is 0 meV/atom.

CIF file:
```
data_NiHS2N
_chemical_formula_sum 'Ni1 H1 S2 N1'
_space_group_name_H-M_alt 'P 4/m m m'
_space_group_IT_number 123
_space_group_name_Hall '-P 4 2'
_cell_length_a 4.5012
_cell_length_b 4.5012
_cell_length_c 2.5480
_cell_angle_alpha 90.00
_cell_angle_beta 90.00
_cell_angle_gamma 90.00
loop_
_atom_site_label
_atom_site_type_symbol
_atom_site_fract_x
_atom_site_fract_y
_atom_site_fract_z
_atom_site_occupancy
Ni1 Ni 0.0000 0.0000 0.0000 1
H1 H 0.5000 0.5000 0.5000 1
S1 S 0.0000 0.5000 0.5000 1
N1 N 0.5000 0.5000 0.0000 1
```

=====

[3]
The following is a PBE calculation of a relaxed LiPrYSc crystal, from Alexandria.

Its formation energy is 0.141 eV per atom.

CIF file:
```
data_LiPrYSc
_chemical_formula_sum 'Li4 Pr4 Y4 Sc4'
_space_group_name_H-M_alt 'F -4 3 m'
_space_group_IT_number 216
_space_group_name_Hall 'F -4 2 3'
_cell_length_a 7.6777
_cell_length_b 7.6777
_cell_length_c 7.6777
_cell_angle_alpha 90.00
_cell_angle_beta 90.00
_cell_angle_gamma 90.00
loop_
_atom_site_label
_atom_site_type_symbol
_atom_site_fract_x
_atom_site_fract_y
_atom_site_fract_z
_atom_site_occupancy
Li1 Li 0.0000 0.0000 0.0000 1
Pr1 Pr 0.2500 0.2500 0.2500 1
Y1 Y 0.2500 0.2500 0.7500 1
Sc1 Sc 0.0000 0.0000 0.5000 1
```

=====

[4]
The following is a PBE calculation of a relaxed TlPtS2Cl crystal, from Alexandria.

Its energy above the most stable polymorph in this dataset is 0 meV/atom. For the formation energy (no corrections), the calculation gives -15.2 meV/atom.

CIF file:
```
data_TlPtS2Cl
_chemical_formula_sum 'Tl1 Pt1 S2 Cl1'
_space_group_name_H-M_alt 'P 4/m m m'
_space_group_IT_number 123
_space_group_name_Hall '-P 4 2'
_cell_length_a 4.7548
_cell_length_b 4.7548
_cell_length_c 5.1803
_cell_angle_alpha 90.00
_cell_angle_beta 90.00
_cell_angle_gamma 90.00
loop_
_atom_site_label
_atom_site_type_symbol
_atom_site_fract_x
_atom_site_fract_y
_atom_site_fract_z
_atom_site_occupancy
Tl1 Tl 0.0000 0.0000 0.0000 1
Pt1 Pt 0.5000 0.5000 0.5000 1
S1 S 0.0000 0.5000 0.5000 1
Cl1 Cl 0.5000 0.5000 0.0000 1
```

=====

[5]
The following is a PBE calculation of a relaxed AlAgPt2 crystal, from Alexandria.

Its formation energy is -0.489 eV per atom. Its energy above the most stable polymorph in this dataset is 165 meV/atom.

CIF file:
```
data_AlAgPt2
_chemical_formula_sum 'Al3 Ag3 Pt6'
_space_group_name_H-M_alt 'R -3 m'
_space_group_IT_number 166
_space_group_name_Hall '-R 3 2"'
_cell_length_a 2.8831
_cell_length_b 2.8831
_cell_length_c 26.5519
_cell_angle_alpha 90.00
_cell_angle_beta 90.00
_cell_angle_gamma 120.00
loop_
_atom_site_label
_atom_site_type_symbol
_atom_site_fract_x
_atom_site_fract_y
_atom_site_fract_z
_atom_site_occupancy
Al1 Al 0.0000 0.0000 0.0000 1
Ag1 Ag 0.0000 0.0000 0.5000 1
Pt1 Pt 0.0000 0.0000 0.2602 1
```

=====

[6]
The following is a PBE calculation of a relaxed Co2Ag crystal, from Alexandria.

Its formation energy is 0.380 eV per atom. Its energy above the most stable polymorph in this dataset is 112 meV/atom.

CIF file:
```
data_Co2Ag
_chemical_formula_sum 'Co8 Ag4'
_space_group_name_H-M_alt 'P n m a'
_space_group_IT_number 62
_space_group_name_Hall '-P 2ac 2n'
_cell_length_a 5.3087
_cell_length_b 3.7982
_cell_length_c 7.9892
_cell_angle_alpha 90.00
_cell_angle_beta 90.00
_cell_angle_gamma 90.00
loop_
_atom_site_label
_atom_site_type_symbol
_atom_site_fract_x
_atom_site_fract_y
_atom_site_fract_z
_atom_site_occupancy
Co1 Co 0.0960 0.2500 0.2247 1
Co2 Co 0.1098 0.2500 0.9207 1
Ag1 Ag 0.1237 0.2500 0.5892 1
```

=====

[7]
The following is a PBE calculation of a relaxed CrMo3 crystal, from Alexandria.

Its formation energy is 0.373 eV per atom.

CIF file:
```
data_CrMo3
_chemical_formula_sum 'Cr2 Mo6'
_space_group_name_H-M_alt 'C m m m'
_space_group_IT_number 65
_space_group_name_Hall '-C 2 2'
_cell_length_a 5.1489
_cell_length_b 9.1058
_cell_length_c 2.6111
_cell_angle_alpha 90.00
_cell_angle_beta 90.00
_cell_angle_gamma 90.00
loop_
_atom_site_label
_atom_site_type_symbol
_atom_site_fract_x
_atom_site_fract_y
_atom_site_fract_z
_atom_site_occupancy
Cr1 Cr 0.0000 0.0000 0.0000 1
Mo1 Mo 0.0000 0.5000 0.0000 1
Mo2 Mo 0.2500 0.2500 0.5000 1
```

=====

[8]
The following is a PBE calculation of a relaxed Ta2MnTc crystal, from Alexandria.

Its formation energy is 0.726 eV per atom.

CIF file:
```
data_Ta2MnTc
_chemical_formula_sum 'Ta4 Mn2 Tc2'
_space_group_name_H-M_alt 'I m m m'
_space_group_IT_number 71
_space_group_name_Hall '-I 2 2'
_cell_length_a 2.8305
_cell_length_b 4.7967
_cell_length_c 10.1057
_cell_angle_alpha 90.00
_cell_angle_beta 90.00
_cell_angle_gamma 90.00
loop_
_atom_site_label
_atom_site_type_symbol
_atom_site_fract_x
_atom_site_fract_y
_atom_site_fract_z
_atom_site_occupancy
Ta1 Ta 0.0000 0.0000 0.2485 1
Mn1 Mn 0.0000 0.0000 0.0000 1
Tc1 Tc 0.0000 0.0000 0.5000 1
```

=====

One value per record, in order, for calculated volume: 88 52 453 117 191 161 122 137 Å³/cell.